Mo2AuC | PBE | optimized geometry

As for the formation energy: 0.89 eV/atom. The distance to the lowest polymorph of the same formula is 50.8 kJ per mole of atoms. The electronic total energy comes out at -122.384 eV for the cell shown.

The space group is I-42d (No. 122) and the conventional cell measures 4.944, 4.944 and 11.603 Å, with angles of 90.00, 90.00 and 90.00 degrees. The inequivalent atoms are Mo at (0.132, 0.250, 0.125), Au at (0.000, 0.000, 0.500) and C at (0.000, 0.000, 0.000).



Cr2RuCl | PBE | optimized geometry

The distance to the lowest polymorph of the same formula is 67.0 kJ per mole of atoms. The electronic total energy comes out at -107.201 eV for the cell shown. The calculation puts the formation energy (no corrections) at 0.892 eV/atom.

The space group is Fm-3m (No. 225) and the conventional cell measures 5.970, 5.970 and 5.970 Å, with angles of 90.00, 90.00 and 90.00 degrees. The inequivalent atoms are Cr at (0.250, 0.250, 0.250), Ru at (0.000, 0.000, 0.000) and Cl at (0.000, 0.000, 0.500).



Ag3SeS | PBE | optimized geometry

The distance to the lowest polymorph of the same formula is 0.0 kJ per mole of atoms. The electronic total energy comes out at -32.327 eV for the cell shown. The calculation puts the formation energy (no corrections) at 0.000 eV/atom.

The space group is P-1 (No. 2) and the conventional cell measures 5.267, 5.291 and 8.450 Å, with angles of 92.70, 105.94 and 90.29 degrees. The inequivalent atoms are Ag at (0.064, 0.279, 0.171), Ag at (0.262, 0.758, 0.491), Ag at (0.413, 0.217, 0.780), Se at (0.422, 0.718, 0.796) and S at (0.075, 0.782, 0.200).



HgTeRu2 | PBE | optimized geometry

The distance to the lowest polymorph of the same formula is 13.0 kJ per mole of atoms. The electronic total energy comes out at -19.973 eV for the cell shown. The calculation puts the formation energy (no corrections) at 0.506 eV/atom.

The space group is Pmm2 (No. 25) and the conventional cell measures 3.183, 4.867 and 4.810 Å, with angles of 90.00, 90.00 and 90.00 degrees. The inequivalent atoms are Hg at (0.000, 0.000, 0.000), Te at (0.500, 0.500, 0.278), Ru at (0.000, 0.500, 0.694) and Ru at (0.500, 0.000, 0.520).



Question: Among the records above, which one has the highest electronic total energy?
Answer: HgTeRu2